Entry 1:
Material: LiSiMo2W
Method: DFT, GGA-PBE
State: optimized geometry

```
LiSiMo2W
1.0
4.174 0.000 0.000
0.000 4.174 0.000
0.000 0.000 4.224
Li Si Mo W
1 1 2 1
Direct
0.000 0.000 0.000
0.500 0.500 0.500
0.000 0.500 0.000
0.500 0.000 0.000
0.000 0.000 0.500
```

Space-group type: No. 123
DFT total energy (eV per atom): -7.1029
Formation energy from raw total energies (eV per atom): 1.29

---

Entry 2:
Material: Nd4MgCd2
Method: DFT, GGA-PBE
State: optimized geometry

```
Nd4MgCd2
1.0
4.000 -5.317 0.000
4.000 5.317 0.000
0.000 0.000 5.178
Nd Mg Cd
4 1 2
Direct
0.000 0.500 0.500
0.228 0.228 0.000
0.500 0.000 0.500
0.772 0.772 0.000
0.500 0.500 0.500
0.270 0.730 0.000
0.730 0.270 0.000
```

Space-group type: No. 65
ΔE to the lowest computed polymorph (eV/atom): 0.000
DFT total energy (eV per atom): -3.3050
E_form (eV per atom): -0.09

---

Entry 3:
Material: Ba3AsIO
Method: DFT, GGA-PBE
State: optimized geometry

```
Ba3AsIO
1.0
9.068 -2.642 0.000
9.068 2.642 0.000
-2.311 0.000 9.424
Ba As I O
6 2 2 2
Direct
0.007 0.007 0.293
0.343 0.343 0.639
0.359 0.359 0.214
0.641 0.641 0.786
0.657 0.657 0.361
0.993 0.993 0.707
0.151 0.151 0.578
0.849 0.849 0.422
0.147 0.147 0.067
0.853 0.853 0.933
0.498 0.498 0.734
0.502 0.502 0.266
```

Space-group type: No. 12
DFT total energy (eV per atom): -4.5039
Formation energy from raw total energies (eV per atom): -1.68

---

Entry 4:
Material: GaFePd3
Method: DFT, GGA-PBE
State: optimized geometry

```
GaFePd3
1.0
4.686 0.000 0.000
0.000 4.686 0.000
0.000 0.000 4.686
Ga Fe Pd
1 1 3
Direct
0.000 0.000 0.000
0.500 0.500 0.500
0.000 0.500 0.500
0.500 0.000 0.500
0.500 0.500 0.000
```

Space-group type: No. 221
ΔE to the lowest computed polymorph (eV/atom): 0.081
DFT total energy (eV per atom): -4.7821
E_form (eV per atom): 0.63

---

Entry 5:
Material: Sc3ZnN
Method: DFT, GGA-PBE
State: optimized geometry

```
Sc3ZnN
1.0
6.204 -4.840 0.000
6.204 4.840 0.000
-0.789 0.000 3.033
Sc Zn N
6 2 2
Direct
0.011 0.700 0.853
0.300 0.989 0.147
0.344 0.344 0.846
0.656 0.656 0.154
0.700 0.011 0.853
0.989 0.300 0.147
0.344 0.656 0.500
0.656 0.344 0.500
0.163 0.163 0.665
0.837 0.837 0.335
```

Space-group type: No. 12
DFT total energy (eV per atom): -6.4790
Formation energy from raw total energies (eV per atom): -0.76

---

Entry 6:
Material: La4Sn2H
Method: DFT, GGA-PBE
State: optimized geometry

```
La4Sn2H
1.0
6.541 0.000 0.000
0.000 6.818 0.000
-3.170 0.000 9.245
La Sn H
8 4 2
Direct
0.180 0.250 0.059
0.249 0.505 0.711
0.249 0.995 0.711
0.286 0.750 0.352
0.714 0.250 0.648
0.751 0.005 0.289
0.751 0.495 0.289
0.820 0.750 0.941
0.236 0.250 0.403
0.351 0.750 0.036
0.649 0.250 0.964
0.764 0.750 0.597
0.084 0.250 0.801
0.916 0.750 0.199
```

Space-group type: No. 11
ΔE to the lowest computed polymorph (eV/atom): 0.016
DFT total energy (eV per atom): -5.0668

---

Entry 7:
Material: ZrNi2P
Method: DFT, GGA-PBE
State: optimized geometry

```
ZrNi2P
1.0
3.328 0.000 0.000
0.000 3.809 0.000
-0.089 0.000 4.721
Zr Ni P
1 2 1
Direct
0.000 0.000 0.000
0.495 0.500 0.750
0.505 0.500 0.250
0.500 0.000 0.500
```

Space-group type: No. 10
DFT total energy (eV per atom): -6.9573
E_form (eV per atom): -0.58

---

Entry 8:
Material: RbHfVIr2
Method: DFT, GGA-PBE
State: optimized geometry

```
RbHfVIr2
1.0
4.786 0.000 0.000
0.000 4.786 0.000
0.000 0.000 4.816
Rb Hf V Ir
1 1 1 2
Direct
0.000 0.000 0.000
0.000 0.000 0.500
0.500 0.500 0.500
0.000 0.500 0.000
0.500 0.000 0.000
```

Space-group type: No. 123
DFT total energy (eV per atom): -4.7464
E_form (eV per atom): 2.81

---

Entry 9:
Material: CrH3Cl
Method: DFT, GGA-PBE
State: optimized geometry

```
CrH3Cl
1.0
3.588 0.000 0.000
0.000 3.588 0.000
0.000 0.000 3.588
Cr H Cl
1 3 1
Direct
0.000 0.000 0.000
0.000 0.000 0.500
0.000 0.500 0.000
0.500 0.000 0.000
0.500 0.500 0.500
```

Space-group type: No. 221
ΔE to the lowest computed polymorph (eV/atom): 0.000
DFT total energy (eV per atom): -3.7960

---

Entry 10:
Material: SmY2Sb
Method: DFT, GGA-PBE
State: optimized geometry

```
SmY2Sb
1.0
4.857 0.000 0.000
0.000 4.857 0.000
0.000 0.000 4.769
Sm Y Sb
1 2 1
Direct
0.000 0.000 0.000
0.000 0.500 0.500
0.500 0.000 0.500
0.500 0.500 0.000
```

Space-group type: No. 123
ΔE to the lowest computed polymorph (eV/atom): 0.096
DFT total energy (eV per atom): -5.9350
Formation energy from raw total energies (eV per atom): -0.49

---

Entry 11:
Material: Li3TlO3
Method: DFT, GGA-PBE
State: optimized geometry

```
Li3TlO3
1.0
3.711 -6.431 0.000
3.711 6.431 0.000
0.000 0.000 3.982
Li Tl O
6 2 6
Direct
0.142 0.858 0.750
0.143 0.284 0.750
0.284 0.143 0.250
0.716 0.857 0.750
0.857 0.716 0.250
0.858 0.142 0.250
0.333 0.667 0.250
0.667 0.333 0.750
0.169 0.831 0.250
0.170 0.339 0.250
0.339 0.170 0.750
0.661 0.830 0.250
0.830 0.661 0.750
0.831 0.169 0.750
```

Space-group type: No. 63
ΔE to the lowest computed polymorph (eV/atom): 0.077
DFT total energy (eV per atom): -4.5937
Formation energy from raw total energies (eV per atom): -1.31

---

Entry 12:
Material: KI2Br4
Method: DFT, GGA-PBE
State: optimized geometry

```
KI2Br4
1.0
4.367 -8.320 0.000
4.367 8.320 0.000
-4.095 0.000 8.922
K I Br
2 4 8
Direct
0.000 0.000 0.000
0.751 0.249 0.500
0.375 0.624 0.250
0.376 0.126 0.750
0.376 0.625 0.750
0.874 0.624 0.250
0.035 0.347 0.236
0.099 0.285 0.735
0.113 0.798 0.763
0.202 0.887 0.237
0.548 0.360 0.263
0.640 0.452 0.737
0.653 0.965 0.764
0.715 0.901 0.265
```

Space-group type: No. 5
DFT total energy (eV per atom): -2.0451
Formation energy from raw total energies (eV per atom): -0.49

---

What is the DFT total energy in the twelfth record?
-2.0451 eV per atom

---

Number 7 is which compound?
ZrNi2P

---

Among the records above, which one has the lowest DFT total energy?
LiSiMo2W

---

Which of these has the lowest DFT total energy?
LiSiMo2W